#A
## VRePt2 (PBE)

Data for a relaxed VRePt2 crystal.

```
VRePt2
1.0
0.000 3.131 3.131
3.131 0.000 3.131
3.131 3.131 0.000
V Re Pt
1 1 2
direct
0.000 0.000 0.000 V
0.500 0.500 0.500 Re
0.250 0.250 0.250 Pt
0.750 0.750 0.750 Pt
```

## Properties
Theoretical density   17.0 g/cm³
Density of states at the Fermi level   7.844 states/eV per cell

#B
## VRePt2 (PBE)

Data for a relaxed VRePt2 crystal.

```
VRePt2
1.0
-1.876 1.876 9.139
1.876 -1.876 9.139
1.876 1.876 -9.139
V Re Pt
2 2 4
direct
0.000 0.000 0.000 V
0.750 0.250 0.500 V
0.250 0.750 0.500 Re
0.500 0.500 0.000 Re
0.123 0.625 0.998 Pt
0.375 0.373 0.498 Pt
0.627 0.125 0.002 Pt
0.875 0.877 0.502 Pt
```

## Properties
Theoretical density   16.2 g/cm³
Density of states at the Fermi level   11.131 states/eV per cell

Bottom line: #A, by a margin of 0.035 eV/atom.

#A
## VRe2Pt (PBE)

Data for a relaxed VRe2Pt crystal.

```
VRe2Pt
1.0
3.842 0.000 0.000
0.000 3.842 0.000
0.000 0.000 3.961
V Re Pt
1 2 1
direct
0.000 0.000 0.000 V
0.000 0.500 0.500 Re
0.500 0.000 0.500 Re
0.500 0.500 0.000 Pt
```

## Properties
Theoretical density   17.6 g/cm³
Density of states at the Fermi level   2.162 states/eV per cell

#B
## VRe2Pt (PBE)

Data for a relaxed VRe2Pt crystal.

```
VRe2Pt
1.0
0.000 3.100 3.100
3.100 0.000 3.100
3.100 3.100 0.000
V Re Pt
1 2 1
direct
0.000 0.000 0.000 V
0.250 0.250 0.250 Re
0.750 0.750 0.750 Re
0.500 0.500 0.500 Pt
```

## Properties
Theoretical density   17.2 g/cm³
Density of states at the Fermi level   6.646 states/eV per cell

#C
## VRe2Pt (PBE)

Data for a relaxed VRe2Pt crystal.

```
VRe2Pt
1.0
-1.884 1.884 9.227
1.884 -1.884 9.227
1.884 1.884 -9.227
V Re Pt
2 4 2
direct
0.000 0.000 0.000 V
0.750 0.250 0.500 V
0.088 0.625 0.963 Re
0.375 0.338 0.463 Re
0.662 0.125 0.037 Re
0.875 0.912 0.537 Re
0.250 0.750 0.500 Pt
0.500 0.500 0.000 Pt
```

## Properties
Theoretical density   15.7 g/cm³
Density of states at the Fermi level   8.346 states/eV per cell

Bottom line: #A, by a margin of 0.414 eV/atom.

#A
## YRePt2 (PBE)

Data for a relaxed YRePt2 crystal.

```
YRePt2
1.0
0.000 3.296 3.296
3.296 0.000 3.296
3.296 3.296 0.000
Y Re Pt
1 1 2
direct
0.000 0.000 0.000 Y
0.250 0.250 0.250 Re
0.500 0.500 0.500 Pt
0.750 0.750 0.750 Pt
```

## Properties
Theoretical density   15.4 g/cm³
Density of states at the Fermi level   3.615 states/eV per cell

#B
## YRePt2 (PBE)

Data for a relaxed YRePt2 crystal.

```
YRePt2
1.0
2.912 -4.096 0.000
2.912 4.096 0.000
0.000 0.000 2.889
Y Re Pt
1 1 2
direct
0.000 0.000 0.000 Y
0.500 0.500 0.000 Re
0.000 0.500 0.500 Pt
0.500 0.000 0.500 Pt
```

## Properties
Theoretical density   16.0 g/cm³
Density of states at the Fermi level   3.428 states/eV per cell

#C
## YRePt2 (PBE)

Data for a relaxed YRePt2 crystal.

```
YRePt2
1.0
-2.076 2.076 4.084
2.076 -2.076 4.084
2.076 2.076 -4.084
Y Re Pt
1 1 2
direct
0.000 0.000 0.000 Y
0.500 0.500 0.000 Re
0.250 0.750 0.500 Pt
0.750 0.250 0.500 Pt
```

## Properties
Theoretical density   15.7 g/cm³
Density of states at the Fermi level   4.819 states/eV per cell

#D
## YRePt2 (PBE)

Data for a relaxed YRePt2 crystal.

```
YRePt2
1.0
1.450 0.837 9.569
-1.450 0.837 9.569
0.000 -1.675 9.569
Y Re Pt
1 1 2
direct
0.000 0.000 0.000 Y
0.500 0.500 0.500 Re
0.243 0.243 0.243 Pt
0.757 0.757 0.757 Pt
```

## Properties
Theoretical density   15.8 g/cm³
Density of states at the Fermi level   5.366 states/eV per cell

Bottom line: #B, by a margin of 0.114 eV/atom.

#A
## YRePt2 (PBE)

Data for a relaxed YRePt2 crystal.

```
YRePt2
1.0
-2.417 2.417 8.061
2.417 -2.417 8.061
2.417 2.417 -8.061
Y Re Pt
2 2 4
direct
0.000 0.000 0.000 Y
0.750 0.250 0.500 Y
0.250 0.750 0.500 Re
0.500 0.500 0.000 Re
0.220 0.625 0.095 Pt
0.375 0.470 0.595 Pt
0.530 0.125 0.905 Pt
0.875 0.780 0.405 Pt
```

## Properties
Theoretical density   11.7 g/cm³
Density of states at the Fermi level   5.349 states/eV per cell

#B
## YRePt2 (PBE)

Data for a relaxed YRePt2 crystal.

```
YRePt2
1.0
-2.041 2.041 4.281
2.041 -2.041 4.281
2.041 2.041 -4.281
Y Re Pt
1 1 2
direct
0.000 0.000 0.000 Y
0.750 0.250 0.500 Re
0.250 0.750 0.500 Pt
0.500 0.500 0.000 Pt
```

## Properties
Theoretical density   15.5 g/cm³
Density of states at the Fermi level   5.639 states/eV per cell

#C
## YRePt2 (PBE)

Data for a relaxed YRePt2 crystal.

```
YRePt2
1.0
2.875 0.000 0.000
0.000 4.079 0.000
-0.008 0.000 5.983
Y Re Pt
1 1 2
direct
0.000 0.000 0.000 Y
0.000 0.000 0.500 Re
0.500 0.500 0.277 Pt
0.500 0.500 0.723 Pt
```

## Properties
Theoretical density   15.7 g/cm³
Density of states at the Fermi level   3.085 states/eV per cell

Bottom line: #C, by a margin of 0.159 eV/atom.

#A
## YRePt2 (PBE)

Data for a relaxed YRePt2 crystal.

```
YRePt2
1.0
2.892 0.000 0.000
0.000 4.707 0.000
0.000 0.000 5.130
Y Re Pt
1 1 2
direct
0.000 0.000 0.000 Y
0.000 0.500 0.381 Re
0.500 0.000 0.492 Pt
0.500 0.500 0.836 Pt
```

## Properties
Theoretical density   15.8 g/cm³
Density of states at the Fermi level   2.730 states/eV per cell

#B
## YRePt2 (PBE)

Data for a relaxed YRePt2 crystal.

```
YRePt2
1.0
1.452 0.838 9.631
-1.452 0.838 9.631
0.000 -1.677 9.631
Y Re Pt
1 1 2
direct
0.000 0.000 0.000 Y
0.241 0.241 0.241 Re
0.501 0.501 0.501 Pt
0.753 0.753 0.753 Pt
```

## Properties
Theoretical density   15.7 g/cm³
Density of states at the Fermi level   6.121 states/eV per cell

#C
## YRePt2 (PBE)

Data for a relaxed YRePt2 crystal.

```
YRePt2
1.0
0.000 3.326 3.326
3.326 0.000 3.326
3.326 3.326 0.000
Y Re Pt
1 1 2
direct
0.000 0.000 0.000 Y
0.500 0.500 0.500 Re
0.250 0.250 0.250 Pt
0.750 0.750 0.750 Pt
```

## Properties
Theoretical density   15.0 g/cm³
Density of states at the Fermi level   5.264 states/eV per cell

Bottom line: #A, by a margin of 0.250 eV/atom.

#A
## YRePt2 (PBE)

Data for a relaxed YRePt2 crystal.

```
YRePt2
1.0
4.144 0.000 0.000
0.000 4.144 0.000
0.000 0.000 4.078
Y Re Pt
1 1 2
direct
0.000 0.000 0.000 Y
0.500 0.500 0.000 Re
0.000 0.500 0.500 Pt
0.500 0.000 0.500 Pt
```

## Properties
Theoretical density   15.8 g/cm³
Density of states at the Fermi level   4.725 states/eV per cell

#B
## YRePt2 (PBE)

Data for a relaxed YRePt2 crystal.

```
YRePt2
1.0
4.717 -1.438 0.000
4.717 1.438 0.000
-0.844 0.000 5.264
Y Re Pt
1 1 2
direct
0.000 0.000 0.000 Y
0.500 0.500 0.500 Re
0.241 0.241 0.718 Pt
0.759 0.759 0.282 Pt
```

## Properties
Theoretical density   15.5 g/cm³
Density of states at the Fermi level   3.169 states/eV per cell

Bottom line: #A, by a margin of 0.174 eV/atom.